First-principles (GGA-PBE) data for a relaxed structure of NbMo7, as listed in the Open Quantum Materials Database.

a = 4.4951 Å, b = 4.4951 Å, c = 6.3640 Å
α = 90.00°, β = 90.00°, γ = 90.00°
Closest atoms and distances in Å follow each position.
Atoms (fractional coordinates):
1 Mo 0.0000 0.5000 0.7523  6 Mo 2.75-2.76, 2 Nb 2.76
2 Mo 0.5000 0.5000 0.0000  8 Mo 2.75
3 Mo 0.0000 0.5000 0.2477  6 Mo 2.75-2.76, 2 Nb 2.76
4 Mo 0.0000 0.0000 0.5000  8 Mo 2.76
5 Mo 0.5000 0.0000 0.2477  6 Mo 2.75-2.76, 2 Nb 2.76
6 Mo 0.5000 0.0000 0.7523  6 Mo 2.75-2.76, 2 Nb 2.76
7 Mo 0.0000 0.0000 0.0000  8 Mo 2.75
8 Nb 0.5000 0.5000 0.5000  8 Mo 2.76

Results
Space group: P4/mmm (123)
Formation energy in eV per atom: -0.0445

=====

First-principles (GGA-PBE) data for a relaxed structure of K2H4PtC6S6N6O2, as listed in the Open Quantum Materials Database.

a = 7.1369 Å, b = 10.8750 Å, c = 11.3614 Å
α = 90.00°, β = 99.65°, γ = 90.00°
Closest atoms and distances in Å follow each position.
Atoms (fractional coordinates):
1 C 0.1616 0.5604 0.7792  1 N 1.18
2 C 0.4365 0.3218 0.7658  1 N 1.18
3 C 0.8384 0.4396 0.2208  1 N 1.18
4 C 0.6530 0.5910 0.7595  1 N 1.18
5 C 0.0635 0.8218 0.2342  1 N 1.18
6 C 0.3384 0.0604 0.2208  1 N 1.18
7 C 0.8470 0.0910 0.2405  1 N 1.18
8 C 0.6616 0.9396 0.7792  1 N 1.18
9 C 0.9365 0.1782 0.7658  1 N 1.18
10 C 0.5635 0.6782 0.2342  1 N 1.18
11 C 0.3470 0.4090 0.2405  1 N 1.18
12 C 0.1530 0.9090 0.7595  1 N 1.18
13 K 0.3910 0.8477 0.4996  3 O 2.80-3.00, 2 H 2.87-2.98, 5 N 2.89-3.09
14 K 0.1090 0.3477 0.5004  3 O 2.80-3.00, 2 H 2.87-2.98, 5 N 2.89-3.09
15 K 0.6090 0.1523 0.5004  3 O 2.80-3.00, 2 H 2.87-2.98, 5 N 2.89-3.09
16 K 0.8910 0.6523 0.4996  3 O 2.80-3.00, 2 H 2.87-2.98, 5 N 2.89-3.09
17 O 0.7328 0.4157 0.5067  2 H 0.98-0.99
18 O 0.2328 0.0843 0.5067  2 H 0.98-0.99
19 O 0.7672 0.9157 0.4933  2 H 0.98-0.99
20 O 0.2672 0.5843 0.4933  2 H 0.98-0.99
21 N 0.0645 0.5072 0.7015  1 C 1.18
22 N 0.9066 0.1408 0.3316  1 C 1.18
23 N 0.4355 0.0072 0.2985  1 C 1.18
24 N 0.4739 0.3201 0.6685  1 C 1.18
25 N 0.5645 0.9928 0.7015  1 C 1.18
26 N 0.5261 0.6799 0.3315  1 C 1.18
27 N 0.4066 0.3592 0.3316  1 C 1.18
28 N 0.5934 0.6408 0.6684  1 C 1.18
29 N 0.9739 0.1799 0.6685  1 C 1.18
30 N 0.0934 0.8592 0.6684  1 C 1.18
31 N 0.9355 0.4928 0.2985  1 C 1.18
32 N 0.0261 0.8201 0.3315  1 C 1.18
33 S 0.8724 0.1843 0.8988  1 C 1.65
34 S 0.2494 0.4805 0.1168  1 C 1.66
35 S 0.3724 0.3157 0.8988  1 C 1.65
36 S 0.2903 0.6437 0.8850  1 C 1.65
37 S 0.7494 0.0195 0.1168  1 C 1.66
38 S 0.7097 0.3563 0.1150  1 C 1.65
39 S 0.2097 0.1437 0.1150  1 C 1.65
40 S 0.2506 0.9805 0.8832  1 C 1.66
41 S 0.7506 0.5195 0.8832  1 C 1.66
42 S 0.1276 0.8157 0.1012  1 C 1.65
43 S 0.6276 0.6843 0.1012  1 C 1.65
44 S 0.7903 0.8563 0.8850  1 C 1.65
45 H 0.1176 0.0899 0.4453  1 O 0.99
46 H 0.1846 0.0897 0.5822  1 O 0.98
47 H 0.8154 0.9103 0.4178  1 O 0.98
48 H 0.3154 0.5897 0.4178  1 O 0.98
49 H 0.3824 0.5899 0.5547  1 O 0.99
50 H 0.6176 0.4101 0.4453  1 O 0.99
51 H 0.6846 0.4103 0.5822  1 O 0.98
52 H 0.8824 0.9101 0.5547  1 O 0.99
53 Pt 0.5000 0.5000 0.0000  6 S 2.39-2.41
54 Pt 0.0000 0.0000 0.0000  6 S 2.39-2.41

Results
Space group: P2_1/c (14)
Total DFT energy (no corrections) in eV/atom: -6.192

=====

First-principles (GGA-PBE) data for a relaxed structure of RbErCo, as listed in the Open Quantum Materials Database.

a = 4.9389 Å, b = 4.9389 Å, c = 4.9389 Å
α = 60.00°, β = 60.00°, γ = 60.00°
Closest atoms and distances in Å follow each position.
Atoms (fractional coordinates):
1 Co 0.0000 0.0000 0.0000  4 Er 3.02, 4 Rb 3.02
2 Rb 0.7500 0.7500 0.7500  4 Co 3.02
3 Er 0.2500 0.2500 0.2500  4 Co 3.02

Results
Energy relative to the lowest polymorph listed for this composition in eV per formula unit: 0.00
Space group: F-43m (216)

=====

What did the third record say?
First-principles (GGA-PBE) data for a relaxed structure of RbErCo, as listed in the Open Quantum Materials Database.

a = 4.9389 Å, b = 4.9389 Å, c = 4.9389 Å
α = 60.00°, β = 60.00°, γ = 60.00°
Closest atoms and distances in Å follow each position.
Atoms (fractional coordinates):
1 Co 0.0000 0.0000 0.0000  4 Er 3.02, 4 Rb 3.02
2 Rb 0.7500 0.7500 0.7500  4 Co 3.02
3 Er 0.2500 0.2500 0.2500  4 Co 3.02

Results
Energy relative to the lowest polymorph listed for this composition in eV per formula unit: 0.00
Space group: F-43m (216)